1.
Below is crystalline LaMgMn2 at its relaxed geometry, with properties calculated at the PBE level.

Cell lengths 4.978, 4.978, 3.357 Å; angles 90.00, 90.00, 90.00 degrees
Each line ends with the local moment (μB).
Fractional positions:
La: 0.500 0.000 0.500  -0.31
Mg: 0.000 0.500 0.500  -0.04
Mn: 0.000 0.000 0.000  3.39
Mn: 0.500 0.500 0.000  3.39

Properties
DOS at the Fermi energy, states/eV/f.u.: 3.65
E, eV per atom: -5.844
M_tot, μB/cell: 6.3

***

2.
Below is crystalline LaMg2Mn at its relaxed geometry, with properties calculated at the PBE level.

Cell lengths 4.972, 4.972, 4.972 Å; angles 60.00, 60.00, 60.00 degrees
Each line ends with the local moment (μB).
Fractional positions:
Mg: 0.250 0.250 0.250  0.00
Mg: 0.750 0.750 0.750  0.00
Mn: 0.000 0.000 0.000  -0.05
La: 0.500 0.500 0.500  0.01

Properties
DOS at the Fermi energy, states/eV/f.u.: 8.24
E, eV per atom: -3.768
M_tot, μB/cell: 0.0

***

3.
Below is crystalline LaMg2Mn at its relaxed geometry, with properties calculated at the PBE level.

Cell lengths 4.404, 4.404, 5.131 Å; angles 90.00, 90.00, 90.00 degrees
Each line ends with the local moment (μB).
Fractional positions:
La: 0.000 0.500 0.500  -0.20
Mg: 0.000 0.000 0.000  -0.02
Mg: 0.500 0.500 0.000  -0.02
Mn: 0.500 0.000 0.500  3.61

Properties
DOS at the Fermi energy, states/eV/f.u.: 4.62
E, eV per atom: -4.104
M_tot, μB/cell: 3.2

***

4.
Below is crystalline LaMgMn2 at its relaxed geometry, with properties calculated at the PBE level.

Cell lengths 9.983, 9.983, 9.983 Å; angles 18.38, 18.38, 18.38 degrees
Each line ends with the local moment (μB).
Fractional positions:
La: 0.250 0.250 0.250  0.19
Mg: 0.750 0.750 0.750  0.04
Mn: 0.006 0.006 0.006  -3.74
Mn: 0.494 0.494 0.494  -3.74

Properties
DOS at the Fermi energy, states/eV/f.u.: 3.65
E, eV per atom: -5.671
M_tot, μB/cell: 7.4

***

5.
Below is crystalline LaMg2Mn at its relaxed geometry, with properties calculated at the PBE level.

Cell lengths 4.230, 4.230, 11.974 Å; angles 79.83, 79.83, 90.00 degrees
Each line ends with the local moment (μB).
Fractional positions:
Mg: 0.606 0.125 0.250  -0.01
Mg: 0.144 0.625 0.250  -0.01
Mg: 0.375 0.394 0.750  -0.01
Mg: 0.875 0.856 0.750  -0.01
Mn: 0.500 0.500 0.000  3.40
Mn: 0.250 0.750 0.500  3.40
La: 0.000 0.000 0.000  -0.24
La: 0.750 0.250 0.500  -0.24

Properties
DOS at the Fermi energy, states/eV/f.u.: 4.52
E, eV per atom: -3.888
M_tot, μB/cell: 6.1

***

6.
Below is crystalline LaMgMn2 at its relaxed geometry, with properties calculated at the PBE level.

Cell lengths 3.198, 3.198, 7.966 Å; angles 90.00, 90.00, 90.01 degrees
Each line ends with the local moment (μB).
Fractional positions:
La: 0.000 0.000 0.467  0.19
Mg: 0.500 0.500 0.813  -0.03
Mn: 0.000 0.000 0.045  3.04
Mn: 0.500 0.500 0.176  -2.90

Properties
DOS at the Fermi energy, states/eV/f.u.: 3.19
E, eV per atom: -6.034
M_tot, μB/cell: 0.4

***

7.
Below is crystalline LaMg14Mn at its relaxed geometry, with properties calculated at the PBE level.

Cell lengths 6.527, 6.527, 10.256 Å; angles 90.00, 90.00, 120.00 degrees
Each line ends with the local moment (μB).
Fractional positions:
La: 0.000 0.000 0.500  0.18
Mg: 0.994 0.497 0.000  -0.01
Mg: 0.017 0.509 0.500  0.01
Mg: 0.503 0.006 0.000  -0.01
Mg: 0.491 0.983 0.500  0.01
Mg: 0.503 0.497 0.000  -0.01
Mg: 0.491 0.509 0.500  0.01
Mg: 0.165 0.835 0.235  0.00
Mg: 0.165 0.835 0.765  0.00
Mg: 0.165 0.330 0.235  0.00
Mg: 0.165 0.330 0.765  0.00
Mg: 0.670 0.835 0.235  0.00
Mg: 0.670 0.835 0.765  0.00
Mg: 0.667 0.333 0.263  0.00
Mg: 0.667 0.333 0.737  0.00
Mn: 0.000 0.000 0.000  3.85

Properties
Energy above the lowest structure with this stoichiometry, eV/atom: 0.0041
DOS at the Fermi energy, states/eV/f.u.: 7.14
E, eV per atom: -2.209
M_tot, μB/cell: 4.5

***

8.
Below is crystalline LaMgMn2 at its relaxed geometry, with properties calculated at the PBE level.

Cell lengths 3.455, 3.407, 7.955 Å; angles 64.79, 90.00, 90.00 degrees
Each line ends with the local moment (μB).
Fractional positions:
La: 0.500 0.250 0.250  -0.25
Mg: 0.500 0.750 0.750  -0.04
Mn: 0.000 0.044 0.956  3.53
Mn: 0.000 0.456 0.544  3.53

Properties
DOS at the Fermi energy, states/eV/f.u.: 3.56
E, eV per atom: -5.885
M_tot, μB/cell: 6.8

***

9.
Below is crystalline LaMgMn2 at its relaxed geometry, with properties calculated at the PBE level.

Cell lengths 6.842, 6.842, 6.842 Å; angles 33.47, 33.47, 33.47 degrees
Each line ends with the local moment (μB).
Fractional positions:
La: 0.519 0.519 0.519  0.05
Mg: 0.714 0.714 0.714  0.02
Mn: 0.973 0.973 0.973  -1.77
Mn: 0.293 0.293 0.293  1.84

Properties
DOS at the Fermi energy, states/eV/f.u.: 2.86
E, eV per atom: -5.985
M_tot, μB/cell: 0.4

***

10.
Below is crystalline LaMg4Mn at its relaxed geometry, with properties calculated at the PBE level.

Cell lengths 5.927, 5.927, 5.927 Å; angles 60.00, 60.00, 60.00 degrees
Each line ends with the local moment (μB).
Fractional positions:
La: 0.000 0.000 0.000  0.17
Mg: 0.873 0.376 0.376  0.02
Mg: 0.376 0.376 0.873  0.02
Mg: 0.376 0.873 0.376  0.02
Mg: 0.376 0.376 0.376  0.02
Mn: 0.750 0.750 0.750  -3.97

Properties
DOS at the Fermi energy, states/eV/f.u.: 6.46
E, eV per atom: -3.224
M_tot, μB/cell: 3.4

***

11.
Below is crystalline LaMg2Mn at its relaxed geometry, with properties calculated at the PBE level.

Cell lengths 6.456, 6.456, 5.071 Å; angles 66.91, 66.91, 29.50 degrees
Each line ends with the local moment (μB).
Fractional positions:
La: 0.250 0.250 0.250  -0.28
Mg: 0.040 0.040 0.960  -0.01
Mg: 0.460 0.460 0.540  -0.01
Mn: 0.750 0.750 0.750  3.25

Properties
DOS at the Fermi energy, states/eV/f.u.: 3.29
E, eV per atom: -4.180
M_tot, μB/cell: 2.7

***

12.
Below is crystalline LaMg14Mn at its relaxed geometry, with properties calculated at the PBE level.

Cell lengths 6.592, 6.592, 10.363 Å; angles 90.00, 90.00, 122.97 degrees
Each line ends with the local moment (μB).
Fractional positions:
La: 0.315 0.685 0.500  -0.05
Mg: 0.831 0.169 0.000  0.00
Mg: 0.334 0.666 0.000  0.00
Mg: 0.311 0.179 0.500  -0.01
Mg: 0.338 0.174 0.000  0.00
Mg: 0.821 0.689 0.500  -0.01
Mg: 0.826 0.662 0.000  0.00
Mg: 0.169 0.326 0.247  -0.01
Mg: 0.169 0.326 0.753  -0.01
Mg: 0.674 0.831 0.247  -0.01
Mg: 0.674 0.831 0.753  -0.01
Mg: 0.681 0.319 0.273  -0.01
Mg: 0.681 0.319 0.727  -0.01
Mg: 0.165 0.835 0.236  0.01
Mg: 0.165 0.835 0.764  0.01
Mn: 0.846 0.154 0.500  3.69

Properties
Energy above the lowest structure with this stoichiometry, eV/atom: 0.0000
DOS at the Fermi energy, states/eV/f.u.: 9.06
E, eV per atom: -2.213
M_tot, μB/cell: 3.8

***

13.
Below is crystalline LaMg2Mn at its relaxed geometry, with properties calculated at the PBE level.

Cell lengths 6.533, 6.533, 3.188 Å; angles 77.58, 77.58, 125.39 degrees
Each line ends with the local moment (μB).
Fractional positions:
La: 0.000 0.500 0.500  -0.29
Mg: 0.000 0.000 0.000  -0.01
Mg: 0.500 0.500 0.000  -0.01
Mn: 0.500 0.000 0.500  3.59

Properties
DOS at the Fermi energy, states/eV/f.u.: 3.92
E, eV per atom: -4.019
M_tot, μB/cell: 3.2

***

14.
Below is crystalline LaMg2Mn at its relaxed geometry, with properties calculated at the PBE level.

Cell lengths 5.164, 5.164, 5.164 Å; angles 60.00, 60.00, 60.00 degrees
Each line ends with the local moment (μB).
Fractional positions:
La: 0.500 0.500 0.500  0.01
Mg: 0.000 0.000 0.000  0.00
Mg: 0.750 0.750 0.750  -0.01
Mn: 0.250 0.250 0.250  3.93

Properties
DOS at the Fermi energy, states/eV/f.u.: 2.99
E, eV per atom: -4.184
M_tot, μB/cell: 4.3

***

15.
Below is crystalline LaMg2Mn at its relaxed geometry, with properties calculated at the PBE level.

Cell lengths 3.405, 3.405, 8.185 Å; angles 90.00, 90.00, 90.01 degrees
Each line ends with the local moment (μB).
Fractional positions:
La: 0.500 0.500 0.750  -0.11
Mg: 0.000 0.000 0.059  -0.03
Mg: 0.000 0.000 0.441  -0.03
Mn: 0.500 0.500 0.250  3.62

Properties
DOS at the Fermi energy, states/eV/f.u.: 4.50
E, eV per atom: -4.167
M_tot, μB/cell: 3.3

***

16.
Below is crystalline LaMgMn2 at its relaxed geometry, with properties calculated at the PBE level.

Cell lengths 5.007, 5.007, 5.007 Å; angles 60.00, 60.00, 60.00 degrees
Each line ends with the local moment (μB).
Fractional positions:
La: 0.500 0.500 0.500  -0.14
Mg: 0.750 0.750 0.750  -0.02
Mn: 0.000 0.000 0.000  3.83
Mn: 0.250 0.250 0.250  -3.86

Properties
DOS at the Fermi energy, states/eV/f.u.: 4.61
E, eV per atom: -5.814
M_tot, μB/cell: 0.4

***

17.
Below is crystalline LaMg6Mn at its relaxed geometry, with properties calculated at the PBE level.

Cell lengths 6.854, 6.854, 5.012 Å; angles 90.00, 90.00, 124.56 degrees
Each line ends with the local moment (μB).
Fractional positions:
La: 0.304 0.696 0.500  -0.02
Mg: 0.685 0.817 0.000  -0.01
Mg: 0.183 0.315 0.000  -0.01
Mg: 0.687 0.313 0.000  -0.01
Mg: 0.822 0.678 0.500  -0.01
Mg: 0.322 0.178 0.500  -0.01
Mg: 0.848 0.152 0.500  0.01
Mn: 0.147 0.853 0.000  3.76

Properties
Energy above the lowest structure with this stoichiometry, eV/atom: 0.0059
DOS at the Fermi energy, states/eV/f.u.: 4.96
E, eV per atom: -2.834
M_tot, μB/cell: 3.9

***

18.
Below is crystalline La4MgMn at its relaxed geometry, with properties calculated at the PBE level.

Cell lengths 6.560, 6.560, 6.560 Å; angles 60.00, 60.00, 60.00 degrees
Each line ends with the local moment (μB).
Fractional positions:
La: 0.877 0.374 0.374  -0.09
La: 0.374 0.374 0.877  -0.09
La: 0.374 0.877 0.374  -0.09
La: 0.374 0.374 0.374  -0.09
Mg: 0.750 0.750 0.750  0.00
Mn: 0.000 0.000 0.000  4.22

Properties
DOS at the Fermi energy, states/eV/f.u.: 9.27
E, eV per atom: -4.553
M_tot, μB/cell: 3.9

***

19.
Below is crystalline LaMgMn2 at its relaxed geometry, with properties calculated at the PBE level.

Cell lengths 6.102, 6.102, 6.102 Å; angles 149.29, 132.22, 57.87 degrees
Each line ends with the local moment (μB).
Fractional positions:
La: 0.511 0.511 0.000  0.17
Mg: 0.222 0.722 0.500  -0.01
Mn: 0.971 0.971 0.000  -2.89
Mn: 0.797 0.297 0.500  3.47

Properties
DOS at the Fermi energy, states/eV/f.u.: 3.73
E, eV per atom: -5.898
M_tot, μB/cell: 1.0

***

20.
Below is crystalline LaMg2Mn at its relaxed geometry, with properties calculated at the PBE level.

Cell lengths 5.892, 5.892, 3.164 Å; angles 90.00, 90.00, 116.00 degrees
Each line ends with the local moment (μB).
Fractional positions:
La: 0.000 0.500 0.500  -0.31
Mg: 0.000 0.000 0.000  -0.02
Mg: 0.500 0.500 0.000  -0.02
Mn: 0.500 0.000 0.500  3.77

Properties
DOS at the Fermi energy, states/eV/f.u.: 3.66
E, eV per atom: -3.992
M_tot, μB/cell: 3.1